SrNiO | Alexandria via LeMat-Bulk | PBE with a Hubbard U | relaxed; total moment = 0.53 μB/f.u.; E = -25.0 eV/cell; DOS at the Fermi energy = 0.96 states/eV/cell
1.0
3.496 -2.328 0.000
3.496 2.328 0.000
-3.484 0.000 6.343
Sr Ni O
2 2 2
Cartesian
0.000 0.000 0.000
3.508 0.000 2.414
-1.051 0.000 4.379
1.317 0.000 4.380
-0.963 0.000 2.451
-0.962 0.000 6.307